1.
First-principles (PBE) data for a geometry-optimized Ba2RuS structure, as listed in Alexandria via LeMat-Bulk.

POSCAR file:
```
Ba2RuS
1.0
8.3026 0.0000 0.0000
0.0000 8.3026 0.0000
4.1513 4.1513 4.2338
Ru S Ba
2 2 4
Cartesian
0.0000 0.0000 0.0000
8.3026 4.1513 2.1169
4.1513 4.1513 0.0000
4.1513 8.3026 2.1169
6.1012 2.0757 1.0584
2.2015 6.2270 1.0584
6.2270 6.3528 3.1753
10.3783 10.2525 3.1753
```

Formation energy from raw total energies = -0.08 eV/atom

=====

2.
First-principles (PBE) data for a geometry-optimized CsNaTi structure, as listed in Alexandria via LeMat-Bulk.

POSCAR file:
```
CsNaTi
1.0
4.2417 0.0026 -0.0005
-2.0275 7.2449 0.0114
-0.1402 -0.4653 9.0158
Cs Na Ti
2 2 2
Cartesian
-0.5554 2.5300 5.0839
-0.2890 3.4195 0.2633
-0.3859 6.3358 4.1987
1.7616 6.8631 1.1884
-0.4971 6.7224 7.4901
1.7280 6.0099 6.9092
```

Energy above the most stable polymorph in this dataset = 0.0 kJ per mole of atoms

=====

3.
First-principles (PBE) data for a geometry-optimized Rb2ScBiSe structure, as listed in Alexandria via LeMat-Bulk.

POSCAR file:
```
Rb2ScBiSe
1.0
-3.1827 4.6489 4.3377
2.4712 -2.4397 4.4281
5.5387 4.4093 -0.6617
Sc Se Bi Rb
1 1 1 2
Cartesian
2.4136 3.3092 4.0520
1.2356 -1.2199 2.2140
0.0000 0.0000 0.0000
2.7694 2.2046 -0.3309
-1.5914 2.3245 2.1688
```

Formation energy from raw total energies = 0.51 eV/atom

=====

4.
First-principles (PBE) data for a geometry-optimized Pr2ZnFe2Ni5 structure, as listed in Alexandria via LeMat-Bulk.

POSCAR file:
```
Pr2ZnFe2Ni5
1.0
3.8161 0.0000 0.0000
0.0000 9.0586 0.0000
0.0000 0.0000 9.0586
Pr Zn Fe Ni
4 2 4 10
Cartesian
0.0000 6.2365 1.7072
0.0000 2.8220 7.3513
0.0000 1.7072 2.8220
0.0000 7.3513 6.2365
0.0000 0.0000 0.0000
0.0000 4.5293 4.5293
0.0000 0.9770 5.5063
0.0000 8.0816 3.5523
0.0000 5.5063 8.0816
0.0000 3.5523 0.9770
1.9080 1.9421 0.5164
1.9080 7.1165 8.5422
1.9080 0.5164 7.1165
1.9080 6.4714 4.0129
1.9080 8.5422 1.9421
1.9080 2.5872 5.0457
1.9080 5.0457 6.4714
1.9080 4.0129 2.5872
1.9080 4.5293 0.0000
1.9080 0.0000 4.5293
```

=====

5.
First-principles (PBE) data for a geometry-optimized BiTeI2N structure, as listed in Alexandria via LeMat-Bulk.

POSCAR file:
```
BiTeI2N
1.0
4.9317 0.0000 0.0000
0.0000 5.3345 0.0000
0.0000 0.0000 4.9317
I Te Bi N
2 1 1 1
Cartesian
0.0000 0.0000 2.4659
2.4659 0.0000 0.0000
0.0000 2.6672 0.0000
2.4659 2.6672 2.4659
0.0000 0.0000 0.0000
```

Energy above the most stable polymorph in this dataset = 6.5 kJ per mole of atoms
Formation energy from raw total energies = 0.81 eV/atom

=====

6.
First-principles (PBE) data for a geometry-optimized GeBiN2 structure, as listed in Alexandria via LeMat-Bulk.

POSCAR file:
```
GeBiN2
1.0
5.3891 0.0000 0.0000
0.0000 5.3891 0.0000
2.6945 2.6945 4.2770
Ge Bi N
2 2 4
Cartesian
2.6945 2.6945 0.0000
2.6945 5.3891 2.1385
0.0000 0.0000 0.0000
5.3891 2.6945 2.1385
3.4766 1.3473 1.0692
1.9125 4.0418 1.0692
4.0418 4.6070 3.2077
6.7363 6.1711 3.2077
```

Energy above the most stable polymorph in this dataset = 0.0 kJ per mole of atoms
Formation energy from raw total energies = 0.47 eV/atom

=====

7.
First-principles (PBE) data for a geometry-optimized CuIrPt structure, as listed in Alexandria via LeMat-Bulk.

POSCAR file:
```
CuIrPt
1.0
2.6427 0.0000 0.0000
0.0000 3.9641 0.0000
0.0000 1.9821 10.5487
Ir Pt Cu
2 2 2
Cartesian
1.9821 3.9641 5.7261
0.6607 1.9821 4.8226
0.6607 1.9821 9.4174
1.9821 3.9641 1.1313
0.6607 3.9641 7.9132
1.9821 1.9821 2.6355
```

Energy above the most stable polymorph in this dataset = 47.6 kJ per mole of atoms

=====

8.
First-principles (PBE) data for a geometry-optimized LiLaNi structure, as listed in Alexandria via LeMat-Bulk.

POSCAR file:
```
LiLaNi
1.0
-1.0099 -1.1611 3.7161
-2.9587 -2.0360 -1.4402
6.7248 -6.0509 -0.0629
Li La Ni
2 2 2
Cartesian
2.3017 -4.9934 2.3304
0.4545 -4.2546 -0.1175
2.5526 -7.0821 -0.4307
0.2036 -2.1659 2.6436
-1.2800 -1.9172 0.1414
4.0361 -7.3308 2.0714
```

Energy above the most stable polymorph in this dataset = 0.0 kJ per mole of atoms

=====

9.
First-principles (PBE) data for a geometry-optimized LiPmBe17 structure, as listed in Alexandria via LeMat-Bulk.

POSCAR file:
```
LiPmBe17
1.0
5.7400 0.0026 0.6801
0.6046 5.7080 0.6801
0.0029 0.0026 5.7801
Li Pm Be
1 1 17
Cartesian
2.1496 1.9348 2.4181
4.1545 3.7394 4.6734
1.6229 0.0302 4.3292
4.2759 1.6108 0.7061
0.4610 4.0834 2.1190
2.0504 4.0834 0.7061
0.2003 1.6108 4.3292
4.1092 0.0302 2.1190
2.4501 4.9115 2.7561
2.1347 1.9214 5.4289
5.1414 1.9214 2.7561
3.8891 0.8926 4.3748
4.1929 3.7740 1.7993
1.2956 3.7740 4.3748
6.0098 2.8941 6.7606
6.3029 5.6732 4.2764
3.5085 5.6732 6.7606
5.7416 5.1679 6.4588
0.6106 0.5496 0.6869
```

=====

10.
First-principles (PBE) data for a geometry-optimized Tm2Zr2Cd structure, as listed in Alexandria via LeMat-Bulk.

POSCAR file:
```
Tm2Zr2Cd
1.0
-3.3811 0.2762 -1.6780
-0.3698 -3.7644 0.1255
-2.0324 2.3940 8.7574
Tm Zr Cd
2 2 1
Cartesian
-2.6878 -1.6090 0.8829
-3.0954 0.5148 6.3219
-4.1028 -1.3737 3.7727
-1.6805 0.2795 3.4322
0.0000 0.0000 0.0000
```

=====

11.
First-principles (PBE) data for a geometry-optimized CsGaRe3 structure, as listed in Alexandria via LeMat-Bulk.

POSCAR file:
```
CsGaRe3
1.0
-1.1644 -2.4031 -4.0285
3.2468 -3.4086 1.0949
-3.3855 -2.4424 2.4356
Cs Re Ga
1 3 1
Cartesian
-0.6516 -4.1271 -0.2490
1.6234 -1.7043 0.5474
-1.6928 -1.2212 1.2178
-0.5822 -1.2016 -2.0142
0.0000 0.0000 0.0000
```

Energy above the most stable polymorph in this dataset = 0.0 kJ per mole of atoms

=====

12.
First-principles (PBE) data for a geometry-optimized Ac2HO structure, as listed in Alexandria via LeMat-Bulk.

POSCAR file:
```
Ac2HO
1.0
-2.1240 2.6696 -0.4285
-0.6019 0.0644 3.3846
5.2577 4.3200 0.8527
H Ac O
1 2 1
Cartesian
1.2659 3.5270 1.9044
3.9807 3.2708 0.6456
1.2770 1.0492 0.2071
-1.3629 1.3670 1.4780
```

Energy above the most stable polymorph in this dataset = 68.9 kJ per mole of atoms

=====

| no. | electronic total energy (eV/cell) | DOS(E_F) (states/eV per cell) |
| --- | --- | --- |
| 1 | -35.10 | 15.5 |
| 2 | -15.63 | 6.6 |
| 3 | -13.08 | 16.8 |
| 4 | -113.50 | 19.9 |
| 5 | -14.40 | 2.3 |
| 6 | -46.50 | 1.6 |
| 7 | -34.78 | 5.6 |
| 8 | -26.44 | 5.0 |
| 9 | -69.96 | 3.1 |
| 10 | -27.38 | 5.8 |
| 11 | -28.80 | 4.1 |
| 12 | -19.26 | 3.8 |